Record 1
Entry from Alexandria: a relaxed BiAs3Os crystal (PBE).

Calculated values
As for the excess energy over the best structure of this formula in the dataset: 0 meV/atom. The formation enthalpy at 0 K is 568.8 meV per atom. As for the space group: No. 221. The volume comes out at 23.09 A^3/atom. Its crystal system is cubic.

Unit cell a=4.869 b=4.869 c=4.869 alpha=90.00 beta=90.00 gamma=90.00
Atoms (fractional coordinates):
As1 0.000 0.000 0.500
As2 0.000 0.500 0.000
As3 0.500 0.000 0.000
Bi1 0.500 0.500 0.500
Os1 0.000 0.000 0.000


Record 2
Entry from Alexandria: a relaxed KZrPb2 crystal (PBE).

Calculated values
As for the excess energy over the best structure of this formula in the dataset: 248 meV/atom. The formation enthalpy at 0 K is 96.2 meV per atom. As for the space group: No. 6. The volume comes out at 28.68 A^3/atom. Its crystal system is monoclinic.

Unit cell a=5.804 b=3.407 c=5.801 alpha=89.96 beta=90.00 gamma=90.00
Atoms (fractional coordinates):
Pb1 0.000 0.164 0.876
Pb2 0.500 0.165 0.375
K1 0.500 0.691 0.875
Zr1 0.000 0.480 0.375